This record from Alexandria describes a relaxed LiV5B2O10 crystal. The functional is PBE with a Hubbard U.

a b c (Å): 3.012 9.609 12.604
angles (deg): 90.00 90.00 90.00
Each line ends with the local moment (μB).
Positions (direct):
V (0.000, 0.010, 0.284)  2.43
V (0.500, 0.752, 0.389)  1.96
V (0.000, 0.490, 0.784)  2.43
V (0.500, 0.748, 0.889)  1.96
V (0.000, 0.510, 0.216)  2.43
V (0.000, 0.000, 0.000)  2.48
V (0.500, 0.252, 0.111)  1.96
V (0.500, 0.248, 0.611)  1.96
V (0.000, 0.990, 0.716)  2.43
V (0.000, 0.500, 0.500)  2.48
O (0.500, 0.850, 0.045)  -0.01
O (0.000, 0.886, 0.420)  -0.02
O (0.000, 0.614, 0.920)  -0.02
O (0.000, 0.884, 0.860)  -0.02
O (0.500, 0.363, 0.854)  0.00
O (0.000, 0.616, 0.360)  -0.02
O (0.500, 0.859, 0.236)  -0.02
O (0.500, 0.150, 0.955)  -0.01
O (0.500, 0.637, 0.146)  0.00
O (0.500, 0.350, 0.455)  -0.01
O (0.000, 0.116, 0.140)  -0.02
O (0.000, 0.386, 0.080)  -0.02
O (0.500, 0.650, 0.545)  -0.01
O (0.500, 0.137, 0.354)  0.00
O (0.000, 0.384, 0.640)  -0.02
O (0.500, 0.863, 0.646)  0.00
O (0.500, 0.641, 0.736)  -0.02
O (0.500, 0.359, 0.264)  -0.02
O (0.500, 0.141, 0.764)  -0.02
O (0.000, 0.114, 0.580)  -0.02
B (0.500, 0.780, 0.143)  0.02
B (0.500, 0.720, 0.643)  0.02
B (0.500, 0.220, 0.857)  0.02
B (0.500, 0.280, 0.357)  0.02
Li (0.500, 0.000, 0.500)  0.00
Li (0.500, 0.500, 0.000)  0.00

Calculated values
Spin magnetization = 0.667 μB per atom
VASP energy = -0.286 hartree per atom
D(E_F) = 3.9 states/eV per cell